# 1
## TlSnPb2Se4 (PBE)

Data for a relaxed TlSnPb2Se4 crystal.

Geometry as POSCAR:
```
TlSnPb2Se4
1.0
7.527 0.000 0.000
0.000 4.319 0.000
-2.522 0.000 7.122
Tl Sn Pb Se
1 1 2 4
Cartesian
0.000 0.000 0.000 Tl
-1.261 2.159 3.561 Sn
2.503 0.000 3.561 Pb
3.764 2.159 0.000 Pb
-0.014 0.000 5.281 Se
1.241 2.159 1.833 Se
3.764 2.159 5.289 Se
5.020 0.000 1.842 Se
```

- DOS at the Fermi energy (states/eV/f.u.) = 3.3
- calculated density (g/cm3) = 7.6
- uncorrected formation energy (meV per atom) = -445



# 2
## TlSn2Pb3Se6 (PBE)

Data for a relaxed TlSn2Pb3Se6 crystal.

Geometry as POSCAR:
```
TlSn2Pb3Se6
1.0
9.480 -2.166 0.000
9.480 2.166 0.000
-1.895 0.000 8.455
Tl Sn Pb Se
1 2 3 6
Cartesian
0.000 0.000 0.000 Tl
5.082 0.000 5.635 Sn
11.983 0.000 2.821 Sn
-0.947 0.000 4.228 Pb
6.031 0.000 1.405 Pb
11.033 0.000 7.050 Pb
2.101 0.000 4.902 Se
3.084 0.000 0.801 Se
7.970 0.000 6.268 Se
9.095 0.000 2.187 Se
13.980 0.000 7.655 Se
14.964 0.000 3.553 Se
```

- DOS at the Fermi energy (states/eV/f.u.) = 5.5
- calculated density (g/cm3) = 7.4
- uncorrected formation energy (meV per atom) = -465



# 3
## Tl2SnPbSe5 (PBE)

Data for a relaxed Tl2SnPbSe5 crystal.

Geometry as POSCAR:
```
Tl2SnPbSe5
1.0
2.018 -10.187 0.000
2.018 10.187 0.000
0.000 0.000 13.228
Tl Sn Pb Se
4 2 2 10
Cartesian
2.018 7.494 6.614 Tl
2.018 7.347 2.073 Tl
2.018 -7.347 8.687 Tl
2.018 -7.494 0.000 Tl
2.018 0.854 3.365 Sn
2.018 -0.854 9.979 Sn
2.018 6.127 11.363 Pb
2.018 -6.127 4.749 Pb
2.018 9.616 11.632 Se
2.018 4.232 6.945 Se
2.018 3.297 2.553 Se
2.018 3.307 10.774 Se
2.018 0.657 7.957 Se
2.018 -0.657 1.343 Se
2.018 -3.307 4.160 Se
2.018 -3.297 9.167 Se
2.018 -4.232 0.331 Se
2.018 -9.616 5.018 Se
```

- DOS at the Fermi energy (states/eV/f.u.) = 3.1
- calculated density (g/cm3) = 6.9
- uncorrected formation energy (meV per atom) = -301



What did the first record say?
## TlSnPb2Se4 (PBE)

Data for a relaxed TlSnPb2Se4 crystal.

Geometry as POSCAR:
```
TlSnPb2Se4
1.0
7.527 0.000 0.000
0.000 4.319 0.000
-2.522 0.000 7.122
Tl Sn Pb Se
1 1 2 4
Cartesian
0.000 0.000 0.000 Tl
-1.261 2.159 3.561 Sn
2.503 0.000 3.561 Pb
3.764 2.159 0.000 Pb
-0.014 0.000 5.281 Se
1.241 2.159 1.833 Se
3.764 2.159 5.289 Se
5.020 0.000 1.842 Se
```

- DOS at the Fermi energy (states/eV/f.u.) = 3.3
- calculated density (g/cm3) = 7.6
- uncorrected formation energy (meV per atom) = -445



- What is the formula in the third record?
  Tl2SnPbSe5



- What is the calculated density in the second record?
  7.4 g/cm3